(1)
Below is a geometry-optimized BaCoSi2C structure, with properties calculated at the PBE-GGA level.

Structure (extended XYZ):
```
5
Lattice="4.011 0.000 0.000 0.000 4.011 0.000 0.000 0.000 5.486" Properties=species:S:1:pos:R:3 pbc="T T T"
Ba 0.000 0.000 0.000
Co 2.005 2.005 0.000
Si 0.000 2.005 2.743
Si 2.005 0.000 2.743
C 0.000 0.000 2.743
```

Summary:
density of states at the Fermi level: 4.23 states/eV/f.u.
formation energy without anion corrections: 1.06 eV per atom

(2)
Below is a geometry-optimized Ba2CoTeC structure, with properties calculated at the PBE-GGA level.

Structure (extended XYZ):
```
5
Lattice="6.016 0.000 0.000 0.000 6.016 0.000 0.000 0.000 3.747" Properties=species:S:1:pos:R:3 pbc="T T T"
Ba 0.000 3.008 0.000
Ba 3.008 0.000 0.000
Co 0.000 0.000 1.873
Te 3.008 3.008 1.873
C 0.000 0.000 0.000
```

Summary:
density of states at the Fermi level: 4.20 states/eV/f.u.
formation energy without anion corrections: -0.34 eV per atom

(3)
Below is a geometry-optimized BaTl2CoC structure, with properties calculated at the PBE-GGA level.

Structure (extended XYZ):
```
5
Lattice="5.677 0.000 0.000 0.000 5.677 0.000 0.000 0.000 3.694" Properties=species:S:1:pos:R:3 pbc="T T T"
Ba 0.000 0.000 0.000
Tl 0.000 2.838 1.847
Tl 2.838 0.000 1.847
Co 2.838 2.838 1.847
C 2.838 2.838 0.000
```

Summary:
density of states at the Fermi level: 4.99 states/eV/f.u.
energy of formation: 0.57 eV/atom